No. 1
# MgHgSb (PBE, relaxed)
# uncorrected energy = -25.251 eV for the cell shown
# density = 7.20 g/cm³
# density of states at the Fermi level = 5.98 states/eV per cell
data_MgHgSb
_cell_length_a 6.8388
_cell_length_b 6.8388
_cell_length_c 6.8388
_cell_angle_alpha 90.00
_cell_angle_beta 90.00
_cell_angle_gamma 90.00
_space_group_name_H-M_alt 'F -4 3 m'
_space_group_IT_number 216
_space_group_name_Hall 'F -4 2 3'
loop_
_atom_site_label
_atom_site_type_symbol
_atom_site_fract_x
_atom_site_fract_y
_atom_site_fract_z
Mg1 Mg 0.0000 0.0000 0.0000
Hg1 Hg 0.2500 0.2500 0.2500
Sb1 Sb 0.2500 0.2500 0.7500

No. 2
# Mg2HgSb (PBE, relaxed)
# uncorrected energy = -31.380 eV for the cell shown
# density = 5.31 g/cm³
# density of states at the Fermi level = 4.89 states/eV per cell
data_Mg2HgSb
_cell_length_a 5.1932
_cell_length_b 5.1932
_cell_length_c 17.2216
_cell_angle_alpha 90.00
_cell_angle_beta 90.00
_cell_angle_gamma 90.00
_space_group_name_H-M_alt 'I -4 2 d'
_space_group_IT_number 122
_space_group_name_Hall 'I -4 2bw'
loop_
_atom_site_label
_atom_site_type_symbol
_atom_site_fract_x
_atom_site_fract_y
_atom_site_fract_z
Mg1 Mg 0.2436 0.2500 0.1250
Hg1 Hg 0.0000 0.0000 0.0000
Sb1 Sb 0.0000 0.0000 0.5000

No. 3
# MgHgSb (PBE, relaxed)
# uncorrected energy = -12.427 eV for the cell shown
# density = 7.82 g/cm³
# density of states at the Fermi level = 2.39 states/eV per cell
data_MgHgSb
_cell_length_a 3.3909
_cell_length_b 4.3061
_cell_length_c 10.0808
_cell_angle_alpha 90.00
_cell_angle_beta 90.00
_cell_angle_gamma 90.00
_space_group_name_H-M_alt 'I m m 2'
_space_group_IT_number 44
loop_
_space_group_symop_operation_xyz
'x,y,z'
'-x,-y,z'
'-x,y,z'
'x,-y,z'
'x+1/2,y+1/2,z+1/2'
'-x+1/2,-y+1/2,z+1/2'
'-x+1/2,y+1/2,z+1/2'
'x+1/2,-y+1/2,z+1/2'
loop_
_atom_site_label
_atom_site_type_symbol
_atom_site_fract_x
_atom_site_fract_y
_atom_site_fract_z
Mg1 Mg 0.0000 0.0000 0.0000
Hg1 Hg 0.0000 0.0000 0.6565
Sb1 Sb 0.0000 0.0000 0.3390

No. 4
# MgHg2Sb2 (PBE, relaxed)
# uncorrected energy = -20.221 eV for the cell shown
# density = 7.84 g/cm³
# density of states at the Fermi level = 4.90 states/eV per cell
data_MgHg2Sb2
_cell_length_a 7.4364
_cell_length_b 7.4364
_cell_length_c 5.1240
_cell_angle_alpha 90.00
_cell_angle_beta 90.00
_cell_angle_gamma 90.00
_space_group_name_H-M_alt 'P 4/m b m'
_space_group_IT_number 127
_space_group_name_Hall '-P 4 2ab'
loop_
_atom_site_label
_atom_site_type_symbol
_atom_site_fract_x
_atom_site_fract_y
_atom_site_fract_z
Mg1 Mg 0.0000 0.0000 0.0000
Hg1 Hg 0.1809 0.3191 0.5000
Sb1 Sb 0.1360 0.6360 0.0000

Record-wise relative energy among the computed polymorphs values, in meV/atom: 41 159 74 0
Record-wise magnetization values, in μB per atom: 0.000 0.000 0.000 0.000
Record-wise ΔE_f (raw) values, in eV/f.u.: -0.3 -0.2 -0.2 0.3